This record from Alexandria describes a geometry-optimized SnMoRu2 structure. The functional is PBE.

The structure in POSCAR format:
```
SnMoRu2
1.0
-1.3912 -1.2418 2.3187
2.2277 -1.9509 0.2919
3.3721 4.5151 4.4413
Ru Mo Sn
2 1 1
direct
0.0000 0.0000 0.7398
0.0000 0.0000 0.2602
0.5000 0.5000 0.5000
0.5000 0.5000 0.0000
```

Calculated values
Fermi-level density of states: 1.05 states/eV/atom
Total moment: 0.000 μB/atom
Formation energy from the elements: 0.18 eV/f.u.